(1)
Computed, not measured: a crystal of GaGeTeI2 relaxed with PBEsol at the SCAN level of DFT.

a b c (Å): 5.422 5.645 5.645
angles (deg): 90.00 90.00 90.00
Positions (direct):
1 Ge 0.000 0.000 0.000
2 I 0.000 0.500 0.000
3 I 0.000 0.000 0.500
4 Ga 0.500 0.500 0.500
5 Te 0.500 0.000 0.000

Computed properties:
Excess energy over the best structure of this formula in the dataset, meV per atom: 0
Crystal system: tetragonal
Energy relative to the elements, uncorrected, eV per atom: 0.135

---

(2)
Computed, not measured: a crystal of BaRhCl2 relaxed with PBEsol at the SCAN level of DFT.

a b c (Å): 5.007 5.008 5.007
angles (deg): 60.01 90.00 119.99
Each line ends with the local moment (μB).
Positions (direct):
1 Rh 0.500 0.000 0.500  0.93
2 Ba 0.000 0.000 0.000  -0.01
3 Cl 0.750 0.500 0.750  0.03
4 Cl 0.250 0.500 0.250  0.03

Computed properties:
Excess energy over the best structure of this formula in the dataset, meV per atom: 0
Crystal system: cubic
Energy relative to the elements, uncorrected, eV per atom: -0.996

---

(3)
Computed, not measured: a crystal of CaTaPb relaxed with PBEsol at the SCAN level of DFT.

a b c (Å): 4.890 4.890 4.890
angles (deg): 60.00 60.00 60.00
Each line ends with the local moment (μB).
Positions (direct):
1 Ta 0.000 0.000 0.000  1.38
2 Ca 0.500 0.500 0.500  0.08
3 Pb 0.250 0.250 0.250  -0.01

Computed properties:
Excess energy over the best structure of this formula in the dataset, meV per atom: 185
Energy of formation from the pure elements, eV per atom: 0.6274
Crystal system: cubic

---

(4)
Computed, not measured: a crystal of FeCu3B relaxed with PBEsol at the SCAN level of DFT.

a b c (Å): 4.323 4.323 4.323
angles (deg): 90.00 90.00 90.00
Each line ends with the local moment (μB).
Positions (direct):
1 Cu 0.000 0.500 0.000  0.16
2 Cu 0.000 0.000 0.500  0.16
3 Cu 0.500 0.000 0.000  0.16
4 B 0.500 0.500 0.500  -0.01
5 Fe 0.000 0.000 0.000  2.71

Computed properties:
Energy of formation from the pure elements, eV per atom: 1.9073
Crystal system: cubic

---

(5)
Computed, not measured: a crystal of ZrAlTc relaxed with PBEsol at the SCAN level of DFT.

a b c (Å): 3.313 3.313 5.153
angles (deg): 108.75 108.75 90.00
Positions (direct):
1 Tc 0.660 0.660 0.321
2 Al 0.017 0.017 0.034
3 Zr 0.323 0.323 0.645

Computed properties:
Excess energy over the best structure of this formula in the dataset, meV per atom: 0
Energy of formation from the pure elements, eV per atom: -0.5179
Crystal system: tetragonal

---

(6)
Computed, not measured: a crystal of Co2PtPb relaxed with PBEsol at the SCAN level of DFT.

a b c (Å): 4.378 4.378 4.378
angles (deg): 60.00 60.00 60.00
Each line ends with the local moment (μB).
Positions (direct):
1 Pt 0.250 0.250 0.250  0.22
2 Co 0.000 0.000 0.000  1.98
3 Co 0.750 0.750 0.750  1.81
4 Pb 0.500 0.500 0.500  -0.01

Computed properties:
Energy of formation from the pure elements, eV per atom: 0.2592
Crystal system: cubic

---

(7)
Computed, not measured: a crystal of Ta2W relaxed with PBEsol at the SCAN level of DFT.

a b c (Å): 2.803 4.561 4.561
angles (deg): 120.00 90.00 90.00
Positions (direct):
1 Ta 0.821 0.667 0.333
2 Ta 0.179 0.333 0.667
3 W 0.500 0.000 0.000

Computed properties:
Excess energy over the best structure of this formula in the dataset, meV per atom: 23
Energy of formation from the pure elements, eV per atom: -0.0631
Crystal system: trigonal

---

(8)
Computed, not measured: a crystal of Li2InIr relaxed with PBEsol at the SCAN level of DFT.

a b c (Å): 3.117 4.376 4.483
angles (deg): 90.00 90.00 90.00
Positions (direct):
1 Li 0.000 0.000 0.000
2 Li 0.500 0.500 0.000
3 Ir 0.000 0.500 0.500
4 In 0.500 0.000 0.500

Computed properties:
Energy of formation from the pure elements, eV per atom: -0.2700
Crystal system: orthorhombic

---

(9)
Computed, not measured: a crystal of InHgBr2 relaxed with PBEsol at the SCAN level of DFT.

a b c (Å): 3.984 3.984 8.617
angles (deg): 76.64 76.64 60.00
Positions (direct):
1 In 0.244 0.244 0.267
2 Hg 0.504 0.504 0.487
3 Br 0.770 0.770 0.691
4 Br 0.981 0.981 0.056

Computed properties:
Excess energy over the best structure of this formula in the dataset, meV per atom: 0
Crystal system: trigonal
Energy relative to the elements, uncorrected, eV per atom: -0.509

---

(10)
Computed, not measured: a crystal of AlOsPt2 relaxed with PBEsol at the SCAN level of DFT.

a b c (Å): 2.775 2.775 8.770
angles (deg): 80.98 80.98 59.98
Positions (direct):
1 Os 0.247 0.247 0.261
2 Pt 0.997 0.997 0.008
3 Pt 0.756 0.756 0.732
4 Al 0.500 0.500 0.500

Computed properties:
Energy of formation from the pure elements, eV per atom: -0.3090
Crystal system: monoclinic

---

(11)
Computed, not measured: a crystal of CrSb3Pb4O13 relaxed with PBEsol at the SCAN level of DFT.

a b c (Å): 7.364 7.364 7.364
angles (deg): 60.71 60.71 60.71
Each line ends with the local moment (μB).
Positions (direct):
1 Pb 0.003 0.003 0.003  0.00
2 Pb 0.002 0.002 0.493  0.01
3 Pb 0.493 0.002 0.002  0.01
4 Pb 0.002 0.493 0.002  0.01
5 Sb 0.500 0.500 0.999  0.01
6 Sb 0.500 0.999 0.500  0.01
7 Sb 0.999 0.500 0.500  0.01
8 O 0.819 0.430 0.430  0.00
9 O 0.822 0.427 0.822  0.00
10 O 0.573 0.177 0.573  0.00
11 O 0.875 0.875 0.875  0.00
12 O 0.822 0.822 0.427  0.00
13 O 0.176 0.575 0.176  0.00
14 O 0.575 0.176 0.176  0.00
15 O 0.573 0.573 0.177  0.00
16 O 0.177 0.573 0.573  0.00
17 O 0.430 0.819 0.430  0.00
18 O 0.176 0.176 0.575  0.00
19 O 0.430 0.430 0.819  0.00
20 O 0.427 0.822 0.822  0.00
21 Cr 0.501 0.501 0.501  2.78

Computed properties:
Crystal system: trigonal
Energy relative to the elements, uncorrected, eV per atom: -1.608

---

(12)
Computed, not measured: a crystal of FeNiMo2 relaxed with PBEsol at the SCAN level of DFT.

a b c (Å): 3.672 3.704 3.704
angles (deg): 90.00 90.00 90.00
Positions (direct):
1 Ni 0.500 0.500 0.500
2 Mo 0.000 0.000 0.500
3 Mo 0.000 0.500 0.000
4 Fe 0.500 0.000 0.000

Computed properties:
Excess energy over the best structure of this formula in the dataset, meV per atom: 79
Energy of formation from the pure elements, eV per atom: 0.1521
Crystal system: tetragonal